Entry 1:
A plane-wave DFT calculation with GGA-PBE was carried out for an optimized crystal structure of Al2Cu2Si.

Cell: 4.792 4.792 7.495 Å, 100.33 100.33 58.95°
Sites, in units of the cell vectors:
Al1 0.026 0.283 0.169
Al2 0.283 0.026 0.669
Al3 0.717 0.974 0.331
Al4 0.974 0.717 0.831
Cu1 0.257 0.478 0.499
Cu2 0.478 0.257 0.999
Cu3 0.522 0.743 0.001
Cu4 0.743 0.522 0.501
Si1 0.318 0.682 0.250
Si2 0.682 0.318 0.750

Calculated values
space-group type	C2/c
magnetization	0.00	μB per formula unit
raw total energy	-42.28	eV for the cell shown
ΔE_f (raw)	-8	meV per atom

---

Entry 2:
A plane-wave DFT calculation with GGA-PBE was carried out for an optimized crystal structure of TlMo4Au.

Cell: 5.338 5.338 5.338 Å, 60.00 60.00 60.00°
Sites, in units of the cell vectors:
Tl1 0.000 0.000 0.000
Mo1 0.377 0.377 0.377
Mo2 0.377 0.377 0.870
Mo3 0.377 0.870 0.377
Mo4 0.870 0.377 0.377
Au1 0.750 0.750 0.750

Calculated values
space-group type	F-43m
magnetization	0.00	μB per formula unit
raw total energy	-45.32	eV for the cell shown

---

Entry 3:
A plane-wave DFT calculation with GGA-PBE was carried out for an optimized crystal structure of Cd12In3Bi5.

Cell: 14.955 14.955 14.955 Å, 109.47 109.47 109.47°
Sites, in units of the cell vectors:
Cd1 0.065 0.237 0.130
Cd2 0.065 0.328 0.934
Cd3 0.066 0.630 0.393
Cd4 0.066 0.935 0.672
Cd5 0.107 0.737 0.672
Cd6 0.107 0.870 0.434
Cd7 0.130 0.065 0.237
Cd8 0.130 0.566 0.893
Cd9 0.172 0.237 0.607
Cd10 0.172 0.435 0.566
Cd11 0.237 0.130 0.065
Cd12 0.237 0.607 0.172
Cd13 0.263 0.328 0.893
Cd14 0.263 0.435 0.370
Cd15 0.328 0.893 0.263
Cd16 0.328 0.934 0.065
Cd17 0.370 0.263 0.435
Cd18 0.370 0.607 0.934
Cd19 0.393 0.066 0.630
Cd20 0.393 0.828 0.763
Cd21 0.434 0.107 0.870
Cd22 0.434 0.828 0.565
Cd23 0.435 0.370 0.263
Cd24 0.435 0.566 0.172
Cd25 0.565 0.434 0.828
Cd26 0.565 0.630 0.737
Cd27 0.566 0.172 0.435
Cd28 0.566 0.893 0.130
Cd29 0.607 0.172 0.237
Cd30 0.607 0.934 0.370
Cd31 0.630 0.393 0.066
Cd32 0.630 0.737 0.565
Cd33 0.672 0.066 0.935
Cd34 0.672 0.107 0.737
Cd35 0.737 0.565 0.630
Cd36 0.737 0.672 0.107
Cd37 0.763 0.393 0.828
Cd38 0.763 0.870 0.935
Cd39 0.828 0.565 0.434
Cd40 0.828 0.763 0.393
Cd41 0.870 0.434 0.107
Cd42 0.870 0.935 0.763
Cd43 0.893 0.130 0.566
Cd44 0.893 0.263 0.328
Cd45 0.934 0.065 0.328
Cd46 0.934 0.370 0.607
Cd47 0.935 0.672 0.066
Cd48 0.935 0.763 0.870
In1 0.125 0.250 0.375
In2 0.125 0.375 0.750
In3 0.250 0.375 0.125
In4 0.250 0.875 0.625
In5 0.375 0.125 0.250
In6 0.375 0.750 0.125
In7 0.625 0.250 0.875
In8 0.625 0.875 0.750
In9 0.750 0.125 0.375
In10 0.750 0.625 0.875
In11 0.875 0.625 0.250
In12 0.875 0.750 0.625
Bi1 0.000 0.000 0.000
Bi2 0.000 0.000 0.500
Bi3 0.000 0.500 0.000
Bi4 0.000 0.500 0.500
Bi5 0.125 0.750 0.875
Bi6 0.125 0.875 0.250
Bi7 0.250 0.125 0.875
Bi8 0.250 0.625 0.375
Bi9 0.375 0.250 0.625
Bi10 0.375 0.625 0.750
Bi11 0.500 0.000 0.000
Bi12 0.500 0.000 0.500
Bi13 0.500 0.500 0.000
Bi14 0.500 0.500 0.500
Bi15 0.625 0.375 0.250
Bi16 0.625 0.750 0.375
Bi17 0.750 0.375 0.625
Bi18 0.750 0.875 0.125
Bi19 0.875 0.125 0.750
Bi20 0.875 0.250 0.125

Calculated values
space-group type	Ia-3d
magnetization	0.00	μB per formula unit
raw total energy	-144.57	eV for the cell shown